Record 1
# HoTmO4 | OQMD | GGA-PBE | relaxed
data_HoTmO4
_cell_length_a 6.7461
_cell_length_b 3.6493
_cell_length_c 6.0858
_cell_angle_alpha 90.00
_cell_angle_beta 96.21
_cell_angle_gamma 90.00
_symmetry_space_group_name_H-M 'C 1 m 1'
_symmetry_Int_Tables_number 8
_symmetry_space_group_name_Hall 'C -2y'
loop_
_atom_site_label
_atom_site_fract_x
_atom_site_fract_y
_atom_site_fract_z
Ho1 0.0000 0.0000 0.0000
Tm1 0.3638 0.0000 0.4568
O1 0.0357 0.0000 0.3774
O2 0.0879 0.5000 0.7790
O3 0.2756 0.5000 0.6720
O4 0.3286 0.0000 0.0854
# Volume: 149 Å³/cell
# VASP energy: -7.83 eV per atom

***

Record 2
# TbTmMg | OQMD | GGA-PBE | relaxed
data_TbTmMg
_cell_length_a 7.3618
_cell_length_b 7.3618
_cell_length_c 7.3618
_cell_angle_alpha 90.00
_cell_angle_beta 90.00
_cell_angle_gamma 90.00
_symmetry_space_group_name_H-M 'F -4 3 m'
_symmetry_Int_Tables_number 216
_symmetry_space_group_name_Hall 'F -4 2 3'
loop_
_atom_site_label
_atom_site_fract_x
_atom_site_fract_y
_atom_site_fract_z
Tb1 0.0000 0.0000 0.0000
Tm1 0.0000 0.0000 0.5000
Mg1 0.2500 0.2500 0.2500
# Volume: 399 Å³/cell
# Offset from the most stable computed form: 0.0 meV per atom

***

Record 3
# NaLaHg6 | OQMD | GGA-PBE | relaxed
data_NaLaHg6
_cell_length_a 6.8300
_cell_length_b 6.8300
_cell_length_c 5.1828
_cell_angle_alpha 90.00
_cell_angle_beta 90.00
_cell_angle_gamma 120.00
_symmetry_space_group_name_H-M 'P -6 m 2'
_symmetry_Int_Tables_number 187
_symmetry_space_group_name_Hall 'P -6 2'
loop_
_atom_site_label
_atom_site_fract_x
_atom_site_fract_y
_atom_site_fract_z
Na1 0.0000 0.0000 0.0000
La1 0.6667 0.3333 0.5000
Hg1 0.0106 0.5053 0.0000
Hg2 0.1670 0.3340 0.5000
# Volume: 209 Å³/cell
# VASP energy: -1.30 eV per atom

***

Record 4
# Y2HoFeCo8 | OQMD | GGA-PBE | relaxed
data_Y2HoFeCo8
_cell_length_a 5.0072
_cell_length_b 5.0072
_cell_length_c 23.9789
_cell_angle_alpha 90.00
_cell_angle_beta 90.00
_cell_angle_gamma 120.00
_symmetry_space_group_name_H-M 'R -3 m'
_symmetry_Int_Tables_number 166
_symmetry_space_group_name_Hall '-R 3 2"'
loop_
_atom_site_label
_atom_site_fract_x
_atom_site_fract_y
_atom_site_fract_z
Y1 0.0000 0.0000 0.1395
Ho1 0.0000 0.0000 0.0000
Fe1 0.0000 0.0000 0.5000
Co1 0.0000 0.0000 0.3336
Co2 0.0016 0.5008 0.9187
# E_form: -0.16 eV per atom
# Volume: 521 Å³/cell

***

Record 5
# TbPr2N3 | OQMD | GGA-PBE | relaxed
data_TbPr2N3
_cell_length_a 3.6075
_cell_length_b 3.6075
_cell_length_c 8.8494
_cell_angle_alpha 90.00
_cell_angle_beta 90.00
_cell_angle_gamma 120.00
_symmetry_space_group_name_H-M 'P -3 m 1'
_symmetry_Int_Tables_number 164
_symmetry_space_group_name_Hall '-P 3 2"'
loop_
_atom_site_label
_atom_site_fract_x
_atom_site_fract_y
_atom_site_fract_z
Tb1 0.0000 0.0000 0.0000
Pr1 0.3333 0.6667 0.3285
N1 0.0000 0.0000 0.5000
N2 0.3333 0.6667 0.8436
# Volume: 100 Å³/cell
# VASP energy: -7.92 eV per atom

***

Record 6
# PrGdGe2Ir | OQMD | GGA-PBE | relaxed
data_PrGdGe2Ir
_cell_length_a 10.9552
_cell_length_b 4.3432
_cell_length_c 10.5762
_cell_angle_alpha 90.00
_cell_angle_beta 117.21
_cell_angle_gamma 90.00
_symmetry_space_group_name_H-M 'C 1 2/m 1'
_symmetry_Int_Tables_number 12
_symmetry_space_group_name_Hall '-C 2y'
loop_
_atom_site_label
_atom_site_fract_x
_atom_site_fract_y
_atom_site_fract_z
Pr1 0.0040 0.0000 0.3289
Gd1 0.1879 0.0000 0.1173
Ge1 0.0164 0.5000 0.8858
Ge2 0.1603 0.5000 0.5552
Ir1 0.2249 0.5000 0.3304
# Volume: 448 Å³/cell
# Offset from the most stable computed form: 5.7 meV per atom

***

Record 7
# BaZr4P6O24 | OQMD | GGA-PBE | relaxed
data_BaZr4P6O24
_cell_length_a 8.5291
_cell_length_b 8.5291
_cell_length_c 24.1608
_cell_angle_alpha 90.00
_cell_angle_beta 90.00
_cell_angle_gamma 120.00
_symmetry_space_group_name_H-M 'R -3'
_symmetry_Int_Tables_number 148
_symmetry_space_group_name_Hall '-R 3'
loop_
_atom_site_label
_atom_site_fract_x
_atom_site_fract_y
_atom_site_fract_z
Ba1 0.0000 0.0000 0.0000
Zr1 0.0000 0.0000 0.1496
Zr2 0.0000 0.0000 0.3511
P1 0.0033 0.2899 0.7484
O1 0.0119 0.8092 0.1971
O2 0.0290 0.2010 0.0912
O3 0.0781 0.2265 0.3986
O4 0.0845 0.2309 0.7011
# Volume: 1522 Å³/cell
# VASP energy: -8.13 eV per atom

***

Record 8
# LiLuNiS3 | OQMD | GGA-PBE | relaxed
data_LiLuNiS3
_cell_length_a 3.6768
_cell_length_b 12.0516
_cell_length_c 10.0190
_cell_angle_alpha 90.00
_cell_angle_beta 90.00
_cell_angle_gamma 90.00
_symmetry_space_group_name_H-M 'C m c m'
_symmetry_Int_Tables_number 63
_symmetry_space_group_name_Hall '-C 2c 2'
loop_
_atom_site_label
_atom_site_fract_x
_atom_site_fract_y
_atom_site_fract_z
Li1 0.0000 0.2310 0.2500
Lu1 0.0000 0.0000 0.0000
Ni1 0.0000 0.4873 0.7500
S1 0.0000 0.0922 0.7500
S2 0.0000 0.3597 0.5861
# Volume: 444 Å³/cell
# Offset from the most stable computed form: 75.2 meV per atom

***

Record 9
# Gd2NiPb6 | OQMD | GGA-PBE | relaxed
data_Gd2NiPb6
_cell_length_a 4.5281
_cell_length_b 23.3303
_cell_length_c 4.6636
_cell_angle_alpha 90.00
_cell_angle_beta 90.00
_cell_angle_gamma 90.00
_symmetry_space_group_name_H-M 'C m m m'
_symmetry_Int_Tables_number 65
_symmetry_space_group_name_Hall '-C 2 2'
loop_
_atom_site_label
_atom_site_fract_x
_atom_site_fract_y
_atom_site_fract_z
Gd1 0.0000 0.1817 0.0000
Ni1 0.0000 0.5000 0.5000
Pb1 0.0000 0.0713 0.5000
Pb2 0.0000 0.2977 0.5000
Pb3 0.0000 0.4302 0.0000
# Volume: 493 Å³/cell
# VASP energy: -4.35 eV per atom

***

Record 10
# NdDy2Cd3Cu2Ag | OQMD | GGA-PBE | relaxed
data_NdDy2Cd3Cu2Ag
_cell_length_a 3.8942
_cell_length_b 13.3521
_cell_length_c 7.7245
_cell_angle_alpha 90.00
_cell_angle_beta 90.00
_cell_angle_gamma 90.00
_symmetry_space_group_name_H-M 'A m m 2'
_symmetry_Int_Tables_number 38
_symmetry_space_group_name_Hall 'A 2 -2'
loop_
_atom_site_label
_atom_site_fract_x
_atom_site_fract_y
_atom_site_fract_z
Nd1 0.0000 0.0000 0.0000
Dy1 0.0000 0.2053 0.3838
Cd1 0.5000 0.0000 0.3252
Cd2 0.5000 0.1350 0.7206
Cu1 0.5000 0.1699 0.0911
Ag1 0.0000 0.0000 0.5875
# E_form: -0.30 eV per atom
# Volume: 402 Å³/cell

***

Record 11
# InCoAgOs | OQMD | GGA-PBE | relaxed
data_InCoAgOs
_cell_length_a 6.3301
_cell_length_b 6.3301
_cell_length_c 6.3301
_cell_angle_alpha 90.00
_cell_angle_beta 90.00
_cell_angle_gamma 90.00
_symmetry_space_group_name_H-M 'F -4 3 m'
_symmetry_Int_Tables_number 216
_symmetry_space_group_name_Hall 'F -4 2 3'
loop_
_atom_site_label
_atom_site_fract_x
_atom_site_fract_y
_atom_site_fract_z
In1 0.0000 0.0000 0.0000
Co1 0.2500 0.2500 0.2500
Ag1 0.2500 0.2500 0.7500
Os1 0.0000 0.0000 0.5000
# Volume: 254 Å³/cell
# Offset from the most stable computed form: 0.0 meV per atom

***

Record 12
# ReN | OQMD | GGA-PBE | relaxed
data_ReN
_cell_length_a 5.3491
_cell_length_b 3.8961
_cell_length_c 4.1844
_cell_angle_alpha 90.00
_cell_angle_beta 90.00
_cell_angle_gamma 90.00
_symmetry_space_group_name_H-M 'P m m a'
_symmetry_Int_Tables_number 51
_symmetry_space_group_name_Hall '-P 2a 2a'
loop_
_atom_site_label
_atom_site_fract_x
_atom_site_fract_y
_atom_site_fract_z
Re1 0.0000 0.0000 0.0000
Re2 0.2500 0.5000 0.3884
N1 0.2500 0.0000 0.3909
N2 0.2500 0.5000 0.8921
# Volume: 87 Å³/cell
# Offset from the most stable computed form: 766.1 meV per atom

***

Record 13
# Co | OQMD | GGA-PBE | relaxed
data_Co
_cell_length_a 4.4295
_cell_length_b 4.4295
_cell_length_c 4.4295
_cell_angle_alpha 90.00
_cell_angle_beta 90.00
_cell_angle_gamma 90.00
_symmetry_space_group_name_H-M 'P m -3 n'
_symmetry_Int_Tables_number 223
_symmetry_space_group_name_Hall '-P 4n 2 3'
loop_
_atom_site_label
_atom_site_fract_x
_atom_site_fract_y
_atom_site_fract_z
Co1 0.0000 0.0000 0.0000
Co2 0.0000 0.2500 0.5000
# E_form: 0.40 eV per atom
# Volume: 87 Å³/cell
# Offset from the most stable computed form: 402.7 meV per atom

***

Record 14
# DyErTl2Zn2 | OQMD | GGA-PBE | relaxed
data_DyErTl2Zn2
_cell_length_a 4.6664
_cell_length_b 4.6664
_cell_length_c 7.3375
_cell_angle_alpha 90.00
_cell_angle_beta 90.00
_cell_angle_gamma 120.00
_symmetry_space_group_name_H-M 'P 3 m 1'
_symmetry_Int_Tables_number 156
_symmetry_space_group_name_Hall 'P 3 -2"'
loop_
_atom_site_label
_atom_site_fract_x
_atom_site_fract_y
_atom_site_fract_z
Dy1 0.0000 0.0000 0.0000
Er1 0.0000 0.0000 0.5001
Tl1 0.3333 0.6667 0.2797
Tl2 0.6667 0.3333 0.7792
Zn1 0.3333 0.6667 0.6966
Zn2 0.6667 0.3333 0.1969
# Volume: 138 Å³/cell
# VASP energy: -3.07 eV per atom

***

Record 15
# PaCdPt | OQMD | GGA-PBE | relaxed
data_PaCdPt
_cell_length_a 6.7901
_cell_length_b 6.7901
_cell_length_c 6.7901
_cell_angle_alpha 90.00
_cell_angle_beta 90.00
_cell_angle_gamma 90.00
_symmetry_space_group_name_H-M 'F -4 3 m'
_symmetry_Int_Tables_number 216
_symmetry_space_group_name_Hall 'F -4 2 3'
loop_
_atom_site_label
_atom_site_fract_x
_atom_site_fract_y
_atom_site_fract_z
Pa1 0.0000 0.0000 0.0000
Cd1 0.2500 0.2500 0.7500
Pt1 0.2500 0.2500 0.2500
# E_form: 0.16 eV per atom
# Volume: 313 Å³/cell

***

Record 16
# ScZnFeGe | OQMD | GGA-PBE | relaxed
data_ScZnFeGe
_cell_length_a 6.1444
_cell_length_b 6.1444
_cell_length_c 6.1444
_cell_angle_alpha 90.00
_cell_angle_beta 90.00
_cell_angle_gamma 90.00
_symmetry_space_group_name_H-M 'F -4 3 m'
_symmetry_Int_Tables_number 216
_symmetry_space_group_name_Hall 'F -4 2 3'
loop_
_atom_site_label
_atom_site_fract_x
_atom_site_fract_y
_atom_site_fract_z
Sc1 0.0000 0.0000 0.0000
Zn1 0.2500 0.2500 0.2500
Fe1 0.2500 0.2500 0.7500
Ge1 0.0000 0.0000 0.5000
# Volume: 232 Å³/cell
# Offset from the most stable computed form: 124.5 meV per atom

***

Record 17
# RbPa3W2 | OQMD | GGA-PBE | relaxed
data_RbPa3W2
_cell_length_a 4.5096
_cell_length_b 4.5096
_cell_length_c 10.6550
_cell_angle_alpha 90.00
_cell_angle_beta 90.00
_cell_angle_gamma 120.00
_symmetry_space_group_name_H-M 'P -3 m 1'
_symmetry_Int_Tables_number 164
_symmetry_space_group_name_Hall '-P 3 2"'
loop_
_atom_site_label
_atom_site_fract_x
_atom_site_fract_y
_atom_site_fract_z
Rb1 0.0000 0.0000 0.0000
Pa1 0.0000 0.0000 0.5000
Pa2 0.3333 0.6667 0.7049
W1 0.3333 0.6667 0.3475
# Volume: 188 Å³/cell
# VASP energy: -8.48 eV per atom

***

Record 18
# GdDyPt2 | OQMD | GGA-PBE | relaxed
data_GdDyPt2
_cell_length_a 4.5199
_cell_length_b 5.5901
_cell_length_c 7.0628
_cell_angle_alpha 90.00
_cell_angle_beta 90.00
_cell_angle_gamma 90.00
_symmetry_space_group_name_H-M 'P m c 21'
_symmetry_Int_Tables_number 26
_symmetry_space_group_name_Hall 'P 2c -2'
loop_
_atom_site_label
_atom_site_fract_x
_atom_site_fract_y
_atom_site_fract_z
Gd1 0.0000 0.1101 0.0000
Dy1 0.5000 0.3903 0.6359
Pt1 0.0000 0.4056 0.3630
Pt2 0.5000 0.0958 0.2737
# E_form: -1.27 eV per atom
# Volume: 178 Å³/cell

***

Record 19
# RbNbPb | OQMD | GGA-PBE | relaxed
data_RbNbPb
_cell_length_a 7.6780
_cell_length_b 7.6780
_cell_length_c 7.6780
_cell_angle_alpha 90.00
_cell_angle_beta 90.00
_cell_angle_gamma 90.00
_symmetry_space_group_name_H-M 'F -4 3 m'
_symmetry_Int_Tables_number 216
_symmetry_space_group_name_Hall 'F -4 2 3'
loop_
_atom_site_label
_atom_site_fract_x
_atom_site_fract_y
_atom_site_fract_z
Rb1 0.0000 0.0000 0.0000
Nb1 0.2500 0.2500 0.7500
Pb1 0.2500 0.2500 0.2500
# Volume: 453 Å³/cell
# Offset from the most stable computed form: 671.6 meV per atom

***

Record 20
# YHfZnCo2 | OQMD | GGA-PBE | relaxed
data_YHfZnCo2
_cell_length_a 4.0192
_cell_length_b 5.3563
_cell_length_c 7.7548
_cell_angle_alpha 90.00
_cell_angle_beta 90.00
_cell_angle_gamma 90.00
_symmetry_space_group_name_H-M 'I m m 2'
_symmetry_Int_Tables_number 44
_symmetry_space_group_name_Hall 'I 2 -2'
loop_
_atom_site_label
_atom_site_fract_x
_atom_site_fract_y
_atom_site_fract_z
Y1 0.0000 0.0000 0.0000
Hf1 0.0000 0.0000 0.4176
Zn1 0.0000 0.5000 0.2029
Co1 0.0000 0.2860 0.7138
# E_form: -0.29 eV per atom
# Volume: 167 Å³/cell

***

Record 21
# HoHfCSe | OQMD | GGA-PBE | relaxed
data_HoHfCSe
_cell_length_a 3.5657
_cell_length_b 3.5657
_cell_length_c 12.9215
_cell_angle_alpha 90.00
_cell_angle_beta 90.00
_cell_angle_gamma 120.00
_symmetry_space_group_name_H-M 'P -3 m 1'
_symmetry_Int_Tables_number 164
_symmetry_space_group_name_Hall '-P 3 2"'
loop_
_atom_site_label
_atom_site_fract_x
_atom_site_fract_y
_atom_site_fract_z
Ho1 0.3333 0.6667 0.1029
Hf1 0.3333 0.6667 0.4097
C1 0.0000 0.0000 0.0000
C2 0.0000 0.0000 0.5000
Se1 0.3333 0.6667 0.7334
# Volume: 142 Å³/cell
# Offset from the most stable computed form: 28.0 meV per atom

***

Record 22
# NaTaCuTe3 | OQMD | GGA-PBE | relaxed
data_NaTaCuTe3
_cell_length_a 3.8761
_cell_length_b 14.8233
_cell_length_c 10.5274
_cell_angle_alpha 90.00
_cell_angle_beta 90.00
_cell_angle_gamma 90.00
_symmetry_space_group_name_H-M 'C m c m'
_symmetry_Int_Tables_number 63
_symmetry_space_group_name_Hall '-C 2c 2'
loop_
_atom_site_label
_atom_site_fract_x
_atom_site_fract_y
_atom_site_fract_z
Na1 0.0000 0.2376 0.2500
Ta1 0.0000 0.0000 0.0000
Cu1 0.0000 0.4655 0.7500
Te1 0.0000 0.0824 0.7500
Te2 0.0000 0.3653 0.5500
# Volume: 605 Å³/cell
# VASP energy: -4.72 eV per atom

***

Record 23
# AgPbSO | OQMD | GGA-PBE | relaxed
data_AgPbSO
_cell_length_a 5.7345
_cell_length_b 3.7349
_cell_length_c 15.0894
_cell_angle_alpha 90.00
_cell_angle_beta 90.00
_cell_angle_gamma 90.00
_symmetry_space_group_name_H-M 'P n m a'
_symmetry_Int_Tables_number 62
_symmetry_space_group_name_Hall '-P 2ac 2n'
loop_
_atom_site_label
_atom_site_fract_x
_atom_site_fract_y
_atom_site_fract_z
Ag1 0.2102 0.2500 0.1938
Pb1 0.2430 0.7500 0.4223
S1 0.2485 0.7500 0.0819
O1 0.2315 0.7500 0.8368
# Volume: 323 Å³/cell
# Offset from the most stable computed form: 94.2 meV per atom

***

Record 24
# HgAsPb2 | OQMD | GGA-PBE | relaxed
data_HgAsPb2
_cell_length_a 7.5177
_cell_length_b 7.5177
_cell_length_c 7.5177
_cell_angle_alpha 90.00
_cell_angle_beta 90.00
_cell_angle_gamma 90.00
_symmetry_space_group_name_H-M 'F -4 3 m'
_symmetry_Int_Tables_number 216
_symmetry_space_group_name_Hall 'F -4 2 3'
loop_
_atom_site_label
_atom_site_fract_x
_atom_site_fract_y
_atom_site_fract_z
Hg1 0.0000 0.0000 0.0000
As1 0.2500 0.2500 0.7500
Pb1 0.0000 0.0000 0.5000
Pb2 0.2500 0.2500 0.2500
# Volume: 425 Å³/cell
# VASP energy: -2.89 eV per atom